(1)
# PBE KAl2W, relaxed
# distance to the lowest polymorph of the same formula	967	meV/atom
data_KAl2W
_cell_length_a 6.788
_cell_length_b 6.788
_cell_length_c 6.788
_cell_angle_alpha 90.00
_cell_angle_beta 90.00
_cell_angle_gamma 90.00
_space_group_name_H-M_alt 'F -4 3 m'
_space_group_IT_number 216
_space_group_name_Hall 'F -4 2 3'
loop_
_atom_site_label
_atom_site_type_symbol
_atom_site_fract_x
_atom_site_fract_y
_atom_site_fract_z
_atom_site_occupancy
K1 K 0.000 0.000 0.000 1
Al1 Al 0.000 0.000 0.500 1
Al2 Al 0.250 0.250 0.750 1
W1 W 0.250 0.250 0.250 1


(2)
# PBE KAlW2, relaxed
# total DFT energy (no corrections)	-6.786	eV/atom
data_KAlW2
_cell_length_a 2.779
_cell_length_b 4.203
_cell_length_c 7.886
_cell_angle_alpha 90.00
_cell_angle_beta 94.12
_cell_angle_gamma 90.00
_space_group_name_H-M_alt 'P 1 2/m 1'
_space_group_IT_number 10
loop_
_space_group_symop_operation_xyz
'x,y,z'
'-x,-y,-z'
'-x,y,-z'
'x,-y,z'
loop_
_atom_site_label
_atom_site_type_symbol
_atom_site_fract_x
_atom_site_fract_y
_atom_site_fract_z
_atom_site_occupancy
K1 K 0.000 0.000 0.000 1
Al1 Al 0.500 0.000 0.500 1
W1 W 0.081 0.500 0.651 1


(3)
# PBE KAlW2, relaxed
# total DFT energy (no corrections)	-6.858	eV/atom
data_KAlW2
_cell_length_a 2.8513
_cell_length_b 2.8513
_cell_length_c 32.2920
_cell_angle_alpha 90.00
_cell_angle_beta 90.00
_cell_angle_gamma 120.00
_space_group_name_H-M_alt 'R -3 m'
_space_group_IT_number 166
_space_group_name_Hall '-R 3 2"'
loop_
_atom_site_label
_atom_site_type_symbol
_atom_site_fract_x
_atom_site_fract_y
_atom_site_fract_z
_atom_site_occupancy
K1 K 0.0000 0.0000 0.0000 1
Al1 Al 0.0000 0.0000 0.5000 1
W1 W 0.0000 0.0000 0.2360 1


Across the entries above, total magnetic moment takes the values 0.252; 0.000; 0.000 μB/atom, respectively.